First-principles (PBE) data for an optimized crystal structure of Ta2OsPt, as listed in the Alexandria database.

Properties
Total moment in μB/cell: 0.00
Energy of formation from the pure elements in eV/f.u.: -1.072
V in Å³/cell: 66.70
Crystal system: tetragonal

Cell lengths 4.806, 4.806, 2.888 Å; angles 90.00, 90.00, 90.00 degrees
Space group P4/mmm (No. 123)
One atom of each set of equivalent atoms:
Ta  0.000  0.500  0.000 x2
Os  0.000  0.000  0.500 x1
Pt  0.500  0.500  0.500 x1